Compound: AgPt2Pb
Source: Alexandria
Functional: PBE-GGA
Structure: optimized geometry

Cell lengths 4.078, 4.107, 8.801 Å; angles 90.00, 90.00, 90.00 degrees
Space group Imm2 (No. 44)
Unique sites:
Ag (0.000, 0.000, 0.000) (multiplicity 2)
Pt (0.000, 0.000, 0.500) (multiplicity 2)
Pt (0.000, 0.500, 0.250) (multiplicity 2)
Pb (0.000, 0.500, 0.750) (multiplicity 2)

Computed properties:
Crystal system: orthorhombic
V (Å³ per atom): 18.423
Calculated formation energy (eV per atom): 0.040
M_tot (Bohr magnetons per cell): 0.0
E_tot (eV/atom): -4.620
DOS(E_F) (states/eV/f.u.): 2.23



Compound: AgPtPb
Source: Alexandria
Functional: PBE-GGA
Structure: optimized geometry

Cell lengths 3.641, 3.641, 9.101 Å; angles 90.00, 90.00, 90.00 degrees
Space group I4mm (No. 107)
Unique sites:
Ag (0.000, 0.000, 0.000) (multiplicity 2)
Pt (0.000, 0.000, 0.343) (multiplicity 2)
Pb (0.000, 0.000, 0.681) (multiplicity 2)

Computed properties:
Crystal system: tetragonal
V (Å³ per atom): 20.111
Calculated formation energy (eV per atom): 0.008
M_tot (Bohr magnetons per cell): 0.0
E_tot (eV/atom): -4.193
DOS(E_F) (states/eV/f.u.): 1.21